Record 1
Material: LaNi2O
Method: DFT, GGA+U
State: optimized geometry

Cell and atoms, written as CIF:
```
data_LaNi2O
_chemical_formula_sum 'La4 Ni8 O4'
_cell_length_a 5.8373
_cell_length_b 5.8373
_cell_length_c 8.2727
_cell_angle_alpha 90.00
_cell_angle_beta 90.00
_cell_angle_gamma 90.00
_symmetry_space_group_name_H-M 'I 41/a m d'
_symmetry_Int_Tables_number 141
loop_
_symmetry_equiv_pos_as_xyz
'x,y,z'
'-x,-y,-z'
'-y+1/4,x+3/4,z+1/4'
'y+1/4,-x+3/4,-z+1/4'
'-x+1/2,-y,z+1/2'
'x+1/2,y,-z+1/2'
'y+1/4,-x+1/4,z+3/4'
'-y+1/4,x+1/4,-z+3/4'
'x,-y,-z'
'-x,y,z'
'-y+1/4,-x+1/4,-z+3/4'
'y+1/4,x+1/4,z+3/4'
'-x+1/2,y,-z+1/2'
'x+1/2,-y,z+1/2'
'y+1/4,x+3/4,-z+1/4'
'-y+1/4,-x+3/4,z+1/4'
'x+1/2,y+1/2,z+1/2'
'-x+1/2,-y+1/2,-z+1/2'
'-y+3/4,x+1/4,z+3/4'
'y+3/4,-x+1/4,-z+3/4'
'-x,-y+1/2,z'
'x,y+1/2,-z'
'y+3/4,-x+3/4,z+1/4'
'-y+3/4,x+3/4,-z+1/4'
'x+1/2,-y+1/2,-z+1/2'
'-x+1/2,y+1/2,z+1/2'
'-y+3/4,-x+3/4,-z+1/4'
'y+3/4,x+3/4,z+1/4'
'-x,y+1/2,-z'
'x,-y+1/2,z'
'y+3/4,x+1/4,-z+3/4'
'-y+3/4,-x+1/4,z+3/4'
loop_
_atom_site_label
_atom_site_type_symbol
_atom_site_fract_x
_atom_site_fract_y
_atom_site_fract_z
La1 La 0.0000 0.2500 0.3750
Ni1 Ni 0.0000 0.0000 0.0000
O1 O 0.0000 0.2500 0.8750
```

Output
Total energy   -3.863 eV per atom

Record 2
Material: LaNiO3
Method: DFT, GGA+U
State: optimized geometry

Cell and atoms, written as CIF:
```
data_LaNiO3
_chemical_formula_sum 'La4 Ni4 O12'
_cell_length_a 7.1413
_cell_length_b 4.9655
_cell_length_c 9.0566
_cell_angle_alpha 90.00
_cell_angle_beta 114.89
_cell_angle_gamma 90.00
_symmetry_space_group_name_H-M 'P 1 21/c 1'
_symmetry_Int_Tables_number 14
loop_
_symmetry_equiv_pos_as_xyz
'x,y,z'
'-x,-y,-z'
'-x,y+1/2,-z+1/2'
'x,-y+1/2,z+1/2'
loop_
_atom_site_label
_atom_site_type_symbol
_atom_site_fract_x
_atom_site_fract_y
_atom_site_fract_z
La1 La 0.2131 0.2474 0.1315
Ni1 Ni 0.4102 0.7445 0.0145
O1 O 0.1497 0.7092 0.5166
O2 O 0.3160 0.0915 0.4133
O3 O 0.4680 0.5367 0.3440
```

Output
Total energy   -6.525 eV per atom